DFT (PBEsol) results for a relaxed structure of CaMgZn.

The mass density is 2.89 g/cm3. The value obtained for the formation energy is -0.09 eV per atom.

It has space group Pmc2_1 (No. 26), with a = 3.716 Å, b = 10.262 Å, c = 7.810 Å, α = 90.00°, β = 90.00° and γ = 90.00°. The inequivalent atoms are Ca at (0.000, 0.058, 0.000), Ca at (0.000, 0.369, 0.402), Mg at (0.500, 0.175, 0.672), Mg at (0.500, 0.335, 0.030), Zn at (0.500, 0.131, 0.300) and Zn at (0.500, 0.437, 0.708).